Entry from Alexandria via LeMat-Bulk: crystalline Hf2TcHRu at its relaxed geometry (PBE).

Geometry as CIF:
```
data_Hf2TcHRu
_cell_length_a 4.587
_cell_length_b 4.587
_cell_length_c 3.425
_cell_angle_alpha 90.00
_cell_angle_beta 90.00
_cell_angle_gamma 90.00
_symmetry_space_group_name_H-M 'P 1'
_symmetry_Int_Tables_number 1
loop_
_symmetry_equiv_pos_as_xyz
'x,y,z'
loop_
_atom_site_label
_atom_site_type_symbol
_atom_site_fract_x
_atom_site_fract_y
_atom_site_fract_z
_atom_site_occupancy
Hf1 Hf 0.000 0.500 0.000 1
Hf2 Hf 0.500 0.000 0.000 1
Tc1 Tc 0.000 0.000 0.500 1
H1 H 0.500 0.500 0.000 1
Ru1 Ru 0.500 0.500 0.500 1
```

Computed properties:
Total magnetic moment, μB/f.u.: 0.00
Calculated total energy, eV/atom: -9.092
Volume, Å³ per atom: 14.413